HfTi3Rh | PBE | optimized geometry

Energy   -167.1 eV for the cell shown
Total magnetization   0.00 μB/f.u.
Excess energy over the best structure of this formula in the dataset   0.00 eV per formula unit
Calculated formation energy   -0.156 eV per atom
Volume   362.3 Å³ per cell

Cell: 5.6265 12.1418 5.3030 Å, 90.00 90.00 90.00°
Space group Cmcm (No. 63)
Asymmetric unit:
Hf1 0.0000 0.0861 0.2500
Ti1 0.0000 0.3241 0.7500
Ti2 0.2503 0.1454 0.7500
Rh1 0.0000 0.5000 0.0000